No. 1
Below is Ba2NdPuS5 after structural relaxation, with properties calculated at the PBE-GGA level.

Cell and atoms, written as extended XYZ:
```
9
Lattice="-2.324 -0.436 4.432 -2.314 -4.154 -1.622 8.296 -6.087 3.752" Properties=species:S:1:pos:R:3 pbc="T T T"
Ba 0.092 -4.064 2.496
Ba 3.566 -6.612 4.067
Nd 0.000 0.000 0.000
Pu 4.148 -3.044 1.876
S 2.991 -5.120 1.065
S 2.986 -3.261 4.092
S 6.264 -4.596 2.833
S 2.032 -1.491 0.919
S -2.319 -2.295 1.405
```

Results
The formation energy without anion corrections is -15.50 eV/f.u. Its density of states at the Fermi level is 0.79 states/eV per atom.

=====

No. 2
Below is Ba2NdPuS6 after structural relaxation, with properties calculated at the PBE-GGA level.

Cell and atoms, written as extended XYZ:
```
20
Lattice="-1.760 1.338 6.917 -7.335 0.107 -1.887 -0.611 -10.267 1.793" Properties=species:S:1:pos:R:3 pbc="T T T"
Ba -7.051 -2.444 -1.193
Ba -5.507 -6.948 3.865
Ba -2.655 -6.378 8.015
Ba -4.200 -1.874 2.958
Nd -0.880 0.669 3.458
Nd -3.973 -5.080 -0.047
Pu -1.185 -4.464 4.355
Pu -3.668 0.053 -0.944
S -5.631 -0.022 0.772
S -7.632 -4.475 4.917
S -4.076 -8.800 6.051
S -2.074 -4.347 1.906
S -6.044 -4.138 1.600
S -7.782 -8.595 5.813
S -3.662 -4.684 5.223
S -1.924 -0.227 1.010
S -5.596 -1.195 5.730
S -8.327 -6.950 2.318
S -4.110 -7.627 1.092
S -1.379 -1.872 4.505
```

Results
The formation energy without anion corrections is -17.55 eV/f.u. Its density of states at the Fermi level is 0.96 states/eV per atom.

=====

No. 3
Below is BaNdRh2 after structural relaxation, with properties calculated at the PBE-GGA level.

Cell and atoms, written as extended XYZ:
```
4
Lattice="-3.188 -1.680 -0.197 1.664 -3.190 0.286 -0.648 0.341 7.568" Properties=species:S:1:pos:R:3 pbc="T T T"
Rh -0.513 0.270 5.995
Rh -0.135 0.071 1.573
Nd -0.762 -2.435 0.045
Ba -1.086 -2.265 3.829
```

Results
Its density of states at the Fermi level is 0.75 states/eV per atom. The energy relative to the elements comes out at -0.309 eV per atom.

=====

No. 4
Below is BaNd3Rh after structural relaxation, with properties calculated at the PBE-GGA level.

Cell and atoms, written as extended XYZ:
```
5
Lattice="-1.489 2.343 5.017 3.092 -3.958 2.766 4.593 3.423 -0.235" Properties=species:S:1:pos:R:3 pbc="T T T"
Rh 0.000 0.000 0.000
Nd 1.546 -1.979 1.383
Nd 2.297 1.712 -0.118
Nd -0.744 1.171 2.508
Ba 3.098 0.904 3.774
```

Results
Its density of states at the Fermi level is 1.64 states/eV per atom. The energy relative to the elements comes out at -0.181 eV per atom.

=====

No. 5
Below is BaNd2Ru after structural relaxation, with properties calculated at the PBE-GGA level.

Cell and atoms, written as extended XYZ:
```
4
Lattice="3.593 0.000 0.000 0.000 3.593 0.000 0.000 0.000 10.425" Properties=species:S:1:pos:R:3 pbc="T T T"
Ru 1.797 1.797 0.000
Nd 0.000 0.000 8.753
Nd 0.000 0.000 1.673
Ba 1.797 1.797 5.213
```

Results
Its density of states at the Fermi level is 0.74 states/eV per atom. The energy relative to the elements comes out at -0.027 eV per atom.

=====

No. 6
Below is BaNd2Ru after structural relaxation, with properties calculated at the PBE-GGA level.

Cell and atoms, written as extended XYZ:
```
4
Lattice="-0.620 3.162 2.728 -2.220 -0.662 3.530 7.314 -1.630 6.820" Properties=species:S:1:pos:R:3 pbc="T T T"
Ru 0.000 0.000 0.000
Nd 4.210 0.398 10.298
Nd 0.263 0.473 2.779
Ba 2.237 0.435 6.538
```

Results
Its density of states at the Fermi level is 0.74 states/eV per atom. The energy relative to the elements comes out at -0.044 eV per atom.

=====

No. 7
Below is BaNd3Ru after structural relaxation, with properties calculated at the PBE-GGA level.

Cell and atoms, written as extended XYZ:
```
5
Lattice="5.698 0.000 0.000 0.000 5.698 0.000 0.000 0.000 5.698" Properties=species:S:1:pos:R:3 pbc="T T T"
Ru 0.000 0.000 0.000
Nd 0.000 2.849 0.000
Nd 0.000 0.000 2.849
Nd 2.849 0.000 0.000
Ba 2.849 2.849 2.849
```

Results
Its density of states at the Fermi level is 1.29 states/eV per atom. The energy relative to the elements comes out at -0.027 eV per atom.

=====

No. 8
Below is BaNdRu after structural relaxation, with properties calculated at the PBE-GGA level.

Cell and atoms, written as extended XYZ:
```
12
Lattice="-1.214 -3.591 -3.352 1.949 -7.209 7.018 -6.679 2.118 4.031" Properties=species:S:1:pos:R:3 pbc="T T T"
Ba -4.064 -6.104 8.040
Ba -0.762 -2.669 3.169
Ba -1.879 -2.578 -0.343
Ba -5.181 -6.014 4.528
Nd -0.641 -6.175 6.877
Nd -4.222 -2.463 4.201
Nd -5.302 -2.508 0.820
Nd -1.721 -6.219 3.496
Ru -2.603 -7.929 5.646
Ru -3.467 -4.326 2.105
Ru -3.340 -0.754 2.051
Ru -2.476 -4.357 5.593
```

Results
Its density of states at the Fermi level is 0.99 states/eV per atom. The energy relative to the elements comes out at 0.117 eV per atom.

=====

No. 9
Below is BaNd2S4 after structural relaxation, with properties calculated at the PBE-GGA level.

Cell and atoms, written as extended XYZ:
```
14
Lattice="4.166 0.000 0.000 -2.083 6.842 0.000 0.000 0.000 13.958" Properties=species:S:1:pos:R:3 pbc="T T T"
Ba 2.083 1.524 10.468
Ba 0.000 5.318 3.489
Nd 0.000 1.833 6.022
Nd 2.083 5.009 13.001
Nd 0.000 1.833 0.957
Nd 2.083 5.009 7.936
S 2.083 3.650 1.573
S 2.083 3.650 5.406
S 0.000 3.192 12.384
S 0.000 3.192 8.552
S 2.083 6.098 10.468
S 0.000 0.744 3.489
S 2.083 0.000 0.000
S 2.083 0.000 6.979
```

Results
The formation energy without anion corrections is -14.53 eV/f.u.

=====

No. 10
Below is BaNdS2 after structural relaxation, with properties calculated at the PBE-GGA level.

Cell and atoms, written as extended XYZ:
```
4
Lattice="-2.716 1.359 2.846 -1.546 -2.635 2.827 4.239 1.210 6.510" Properties=species:S:1:pos:R:3 pbc="T T T"
Ba 0.058 -0.013 6.149
Nd 1.350 0.345 10.253
S 2.988 0.848 5.489
S -0.192 -0.070 2.894
```

Results
The formation energy without anion corrections is -7.78 eV/f.u. Its density of states at the Fermi level is 0.51 states/eV per atom.

=====

No. 11
Below is BaNd2S4 after structural relaxation, with properties calculated at the PBE-GGA level.

Cell and atoms, written as extended XYZ:
```
28
Lattice="-1.368 3.829 1.064 -6.780 0.470 -10.410 -11.565 -6.149 7.254" Properties=species:S:1:pos:R:3 pbc="T T T"
Ba -9.684 -2.975 2.404
Ba -4.533 2.010 -0.611
Ba -15.180 -3.860 -1.480
Ba -10.029 1.126 -4.495
Nd -13.622 -2.342 -4.937
Nd -6.179 2.484 -4.431
Nd -13.534 -4.333 2.339
Nd -6.091 0.493 2.845
Nd -7.816 0.749 -8.596
Nd -11.921 -0.574 -0.812
Nd -7.792 -1.275 -1.280
Nd -11.897 -2.599 6.505
S -12.143 -3.212 0.093
S -10.209 1.997 -7.861
S -9.504 -3.846 5.769
S -7.570 1.362 -2.185
S -10.159 -1.690 -2.834
S -18.234 -2.738 -1.144
S -1.479 0.888 -0.948
S -9.553 -0.160 0.742
S -7.183 0.217 -5.867
S -14.179 -0.906 -2.521
S -5.534 -0.944 0.430
S -12.530 -2.067 3.776
S -11.451 -1.189 -6.294
S -15.577 -2.512 1.459
S -4.136 0.662 -3.551
S -8.262 -0.660 4.202
```

Results
The formation energy without anion corrections is -14.68 eV/f.u. Its density of states at the Fermi level is 0.00 states/eV per atom.

=====

No. 12
Below is Ba3NdS4 after structural relaxation, with properties calculated at the PBE-GGA level.

Cell and atoms, written as extended XYZ:
```
8
Lattice="4.389 0.000 0.000 0.000 7.672 -0.048 0.000 -2.465 7.265" Properties=species:S:1:pos:R:3 pbc="T T T"
Ba 0.000 -1.232 3.633
Ba 2.195 2.604 3.608
Ba 0.000 3.836 -0.024
Nd 2.195 0.000 0.000
S 0.000 1.180 1.635
S 2.195 5.288 1.671
S 0.000 4.028 5.582
S 2.195 -0.081 5.545
```

Results
The formation energy without anion corrections is -16.17 eV/f.u. Its density of states at the Fermi level is 0.38 states/eV per atom.

=====

Let's list energy in order: -0.4825; -0.4796; -0.4158; -0.3599; -0.3830; -0.3842; -0.3769; -0.3826; -0.4462; -0.4177; -0.4478; -0.3970 Ry/atom.
Let's list volume in order: 276; 287; 99; 188; 135; 152; 185; 99; 199; 112; 196; 244 Å³/f.u..